(1)
The following is a DFT calculation (PBE) of LaPm6Dy3Er2 after structural relaxation.

POSCAR file:
```
LaPm6Dy3Er2
1.0
3.1294 -5.4194 0.0000
3.1294 5.4194 0.0000
-2.0864 0.0000 11.7484
La Pm Dy Er
1 6 3 2
direct
0.0000 0.0000 0.0000
0.0844 0.4191 0.2517
0.2502 0.2502 0.7481
0.4191 0.0844 0.2517
0.5809 0.9156 0.7483
0.7498 0.7498 0.2519
0.9156 0.5809 0.7483
0.1672 0.8328 0.5000
0.5000 0.5000 0.5000
0.8328 0.1672 0.5000
0.3335 0.6666 0.0000
0.6666 0.3335 0.0000
```

Crystal system: monoclinic
Density of states at the Fermi level in states/eV/f.u.: 15.6
E in eV per atom: -4.679
Symmetry: C2/m
E_form in eV/atom: 0.018



(2)
The following is a DFT calculation (PBE) of La3PmDy6Er2 after structural relaxation.

POSCAR file:
```
La3PmDy6Er2
1.0
3.1163 -5.3999 0.0000
3.1163 5.3999 0.0000
-2.0775 0.0000 11.7061
La Pm Dy Er
3 1 6 2
direct
0.0000 0.0000 0.0000
0.3333 0.6667 0.0000
0.6667 0.3333 0.0000
0.5000 0.5000 0.5000
0.0840 0.4181 0.2553
0.2478 0.2478 0.7448
0.4181 0.0840 0.2553
0.5819 0.9160 0.7447
0.7522 0.7522 0.2552
0.9160 0.5819 0.7447
0.1668 0.8332 0.5000
0.8332 0.1668 0.5000
```

Crystal system: monoclinic
Density of states at the Fermi level in states/eV/f.u.: 16.5
E in eV per atom: -4.668
Symmetry: C2/m
E_form in eV/atom: 0.021